# 1
An optimized crystal structure of U2PaNb, computed with PBE.

E above lowest polymorph, meV per atom: 0.0

Cell lengths 5.314, 5.314, 3.004 Å; angles 90.00, 90.00, 90.00 degrees
Atoms (fractional coordinates):
U: 0.000 0.500 0.000
U: 0.500 0.000 0.000
Pa: 0.000 0.000 0.500
Nb: 0.500 0.500 0.500

---

# 2
An optimized crystal structure of Dy2YHoEr6, computed with PBE.

Cell lengths 8.710, 8.710, 9.484 Å; angles 93.96, 93.96, 118.21 degrees
Atoms (fractional coordinates):
Dy: 0.196 0.304 0.044
Dy: 0.304 0.196 0.544
Dy: 0.696 0.804 0.456
Dy: 0.804 0.696 0.956
Y: 0.022 0.978 0.250
Y: 0.978 0.022 0.750
Ho: 0.409 0.591 0.750
Ho: 0.591 0.409 0.250
Er: 0.021 0.571 0.185
Er: 0.127 0.750 0.557
Er: 0.250 0.873 0.943
Er: 0.289 0.502 0.380
Er: 0.429 0.979 0.315
Er: 0.498 0.711 0.120
Er: 0.502 0.289 0.880
Er: 0.571 0.021 0.685
Er: 0.711 0.498 0.620
Er: 0.750 0.127 0.057
Er: 0.873 0.250 0.443
Er: 0.979 0.429 0.815

---

# 3
An optimized crystal structure of PmPr8Ga6, computed with PBE.

Cell lengths 8.204, 8.204, 8.204 Å; angles 66.11, 66.11, 66.11 degrees
Atoms (fractional coordinates):
Pm: 0.000 0.000 0.000
Pr: 0.114 0.448 0.780
Pr: 0.220 0.886 0.552
Pr: 0.334 0.334 0.334
Pr: 0.448 0.780 0.114
Pr: 0.552 0.220 0.886
Pr: 0.666 0.666 0.666
Pr: 0.780 0.114 0.448
Pr: 0.886 0.552 0.220
Ga: 0.055 0.725 0.386
Ga: 0.275 0.614 0.945
Ga: 0.386 0.055 0.725
Ga: 0.614 0.945 0.275
Ga: 0.725 0.386 0.055
Ga: 0.945 0.275 0.614

---

Number 1: ΔE_f 270 meV/atom, electronic total energy -10.27 eV/atom. Number 2: ΔE_f 118 meV/atom, electronic total energy -4.64 eV/atom. Number 3: ΔE_f -353 meV/atom, electronic total energy -4.43 eV/atom.